Computed, not measured: an optimized crystal structure of ZrScAg at the PBE level of DFT.

Geometry as POSCAR:
```
ZrScAg
1.0
5.146 -1.611 0.000
5.146 1.611 0.000
-3.467 0.000 7.755
Zr Sc Ag
2 2 2
Direct
0.000 0.000 0.000
0.656 0.656 0.797
0.003 0.003 0.443
0.343 0.343 0.653
0.320 0.320 0.136
0.683 0.683 0.322
```

M_tot, μB per cell: 0.00
Polymorph energy (0 for the lowest one), eV per formula unit: 0.190